[1]
Compound: Zr2MnRu
Source: the Alexandria database
Functional: PBE-GGA
Structure: relaxed

Calculated values
Space-group type: F-43m (216)

abc: 6.519 6.519 6.519
angles: 90.00 90.00 90.00
Element x y z (fractional)
Zr 0.000 0.000 0.000
Zr 0.000 0.500 0.500
Zr 0.250 0.250 0.250
Zr 0.250 0.750 0.750
Zr 0.500 0.000 0.500
Zr 0.500 0.500 0.000
Zr 0.750 0.250 0.750
Zr 0.750 0.750 0.250
Mn 0.000 0.000 0.500
Mn 0.000 0.500 0.000
Mn 0.500 0.000 0.000
Mn 0.500 0.500 0.500
Ru 0.250 0.250 0.750
Ru 0.250 0.750 0.250
Ru 0.750 0.250 0.250
Ru 0.750 0.750 0.750

---

[2]
Compound: NpBeSb
Source: the Alexandria database
Functional: PBE-GGA
Structure: relaxed

Calculated values
Space-group type: Imma (74)
Raw formation energy in meV per atom: 57

abc: 4.143 4.148 13.406
angles: 90.00 90.00 90.00
Element x y z (fractional)
Np 0.000 0.250 0.049
Np 0.000 0.750 0.951
Np 0.500 0.250 0.451
Np 0.500 0.750 0.549
Be 0.000 0.250 0.280
Be 0.000 0.750 0.720
Be 0.500 0.250 0.220
Be 0.500 0.750 0.780
Sb 0.000 0.250 0.624
Sb 0.000 0.750 0.376
Sb 0.500 0.250 0.876
Sb 0.500 0.750 0.124

---

[3]
Compound: As2RuSe
Source: the Alexandria database
Functional: PBE-GGA
Structure: relaxed

Calculated values
Space-group type: Immm (71)
Raw formation energy in meV per atom: 176

abc: 2.978 4.502 11.072
angles: 90.00 90.00 90.00
Element x y z (fractional)
As 0.000 0.000 0.188
As 0.000 0.000 0.812
As 0.500 0.500 0.312
As 0.500 0.500 0.688
Ru 0.000 0.500 0.500
Ru 0.500 0.000 0.000
Se 0.000 0.500 0.000
Se 0.500 0.000 0.500

---

[4]
Compound: Cs2NaHI
Source: the Alexandria database
Functional: PBE-GGA
Structure: relaxed

Calculated values
Space-group type: P4/mmm (123)

abc: 6.430 6.430 4.950
angles: 90.00 90.00 90.00
Element x y z (fractional)
Cs 0.000 0.500 0.000
Cs 0.500 0.000 0.000
Na 0.000 0.000 0.500
H 0.000 0.000 0.000
I 0.500 0.500 0.500

---

[5]
Compound: Nb2CrFePb
Source: the Alexandria database
Functional: PBE-GGA
Structure: relaxed

Calculated values
Space-group type: P4/mmm (123)

abc: 4.554 4.554 4.779
angles: 90.00 90.00 90.00
Element x y z (fractional)
Nb 0.000 0.500 0.000
Nb 0.500 0.000 0.000
Cr 0.000 0.000 0.500
Fe 0.500 0.500 0.000
Pb 0.500 0.500 0.500

---

[6]
Compound: Li2BeRu
Source: the Alexandria database
Functional: PBE-GGA
Structure: relaxed

Calculated values
Space-group type: Pmm2 (25)

abc: 2.565 3.697 5.425
angles: 90.00 90.00 90.00
Element x y z (fractional)
Li 0.000 0.000 0.000
Li 0.500 0.500 0.264
Be 0.500 0.500 0.694
Ru 0.000 0.000 0.537

---

[7]
Compound: LaNiRu2
Source: the Alexandria database
Functional: PBE-GGA
Structure: relaxed

Calculated values
Space-group type: Immm (71)
Energy relative to the lowest polymorph listed for this composition in meV per atom: 325

abc: 2.957 4.566 10.013
angles: 90.00 90.00 90.00
Element x y z (fractional)
La 0.000 0.000 0.000
La 0.500 0.500 0.500
Ni 0.000 0.000 0.500
Ni 0.500 0.500 0.000
Ru 0.000 0.500 0.216
Ru 0.000 0.500 0.784
Ru 0.500 0.000 0.284
Ru 0.500 0.000 0.716

---

[8]
Compound: TiBe2Ru2
Source: the Alexandria database
Functional: PBE-GGA
Structure: relaxed

Calculated values
Space-group type: P4/mbm (127)
Energy relative to the lowest polymorph listed for this composition in meV per atom: 310

abc: 6.523 6.523 2.908
angles: 90.00 90.00 90.00
Element x y z (fractional)
Ti 0.000 0.000 0.000
Ti 0.500 0.500 0.000
Be 0.136 0.364 0.500
Be 0.364 0.864 0.500
Be 0.636 0.136 0.500
Be 0.864 0.636 0.500
Ru 0.155 0.655 0.000
Ru 0.345 0.155 0.000
Ru 0.655 0.845 0.000
Ru 0.845 0.345 0.000

---

[9]
Compound: ErCd2Pd
Source: the Alexandria database
Functional: PBE-GGA
Structure: relaxed

Calculated values
Space-group type: R-3m (166)

abc: 3.177 3.177 31.574
angles: 90.00 90.00 120.00
Element x y z (fractional)
Er 0.000 0.000 0.000
Er 0.333 0.667 0.667
Er 0.667 0.333 0.333
Cd 0.000 0.000 0.099
Cd 0.000 0.000 0.901
Cd 0.333 0.667 0.568
Cd 0.333 0.667 0.765
Cd 0.667 0.333 0.235
Cd 0.667 0.333 0.432
Pd 0.000 0.000 0.500
Pd 0.333 0.667 0.167
Pd 0.667 0.333 0.833

---

[10]
Compound: Tl2Tc2Sn
Source: the Alexandria database
Functional: PBE-GGA
Structure: relaxed

Calculated values
Space-group type: P4/mbm (127)
Energy relative to the lowest polymorph listed for this composition in meV per atom: 157

abc: 8.683 8.683 2.989
angles: 90.00 90.00 90.00
Element x y z (fractional)
Tl 0.191 0.309 0.000
Tl 0.309 0.809 0.000
Tl 0.691 0.191 0.000
Tl 0.809 0.691 0.000
Tc 0.091 0.591 0.500
Tc 0.409 0.091 0.500
Tc 0.591 0.909 0.500
Tc 0.909 0.409 0.500
Sn 0.000 0.000 0.000
Sn 0.500 0.500 0.000

---

[11]
Compound: CdSi2HgH
Source: the Alexandria database
Functional: PBE-GGA
Structure: relaxed

Calculated values
Space-group type: P4/mmm (123)

abc: 5.224 5.224 3.489
angles: 90.00 90.00 90.00
Element x y z (fractional)
Cd 0.000 0.000 0.000
Si 0.000 0.500 0.000
Si 0.500 0.000 0.000
Hg 0.500 0.500 0.500
H 0.000 0.000 0.500

---

[12]
Compound: PrHo6Tm8
Source: the Alexandria database
Functional: PBE-GGA
Structure: relaxed

Calculated values
Space-group type: P-3 (147)

abc: 9.364 9.364 6.396
angles: 90.00 90.00 120.00
Element x y z (fractional)
Pr 0.000 0.000 0.000
Ho 0.102 0.682 0.087
Ho 0.318 0.420 0.087
Ho 0.420 0.102 0.913
Ho 0.580 0.898 0.087
Ho 0.682 0.580 0.913
Ho 0.898 0.318 0.913
Tm 0.025 0.339 0.410
Tm 0.315 0.975 0.410
Tm 0.333 0.667 0.659
Tm 0.339 0.315 0.590
Tm 0.661 0.685 0.410
Tm 0.667 0.333 0.341
Tm 0.685 0.025 0.590
Tm 0.975 0.661 0.590

---

Number 1: total energy -8.907 eV/atom, DOS at the Fermi energy 19.2 states/eV per cell. Number 2: total energy -6.872 eV/atom, DOS at the Fermi energy 11.0 states/eV per cell. Number 3: total energy -5.339 eV/atom, DOS at the Fermi energy 6.2 states/eV per cell. Number 4: total energy -2.122 eV/atom, DOS at the Fermi energy 1.8 states/eV per cell. Number 5: total energy -7.161 eV/atom, DOS at the Fermi energy 8.3 states/eV per cell. Number 6: total energy -4.114 eV/atom, DOS at the Fermi energy 1.8 states/eV per cell. Number 7: total energy -7.056 eV/atom, DOS at the Fermi energy 11.9 states/eV per cell. Number 8: total energy -7.004 eV/atom, DOS at the Fermi energy 7.6 states/eV per cell. Number 9: total energy -2.853 eV/atom, DOS at the Fermi energy 8.4 states/eV per cell. Number 10: total energy -5.162 eV/atom, DOS at the Fermi energy 8.1 states/eV per cell. Number 11: total energy -2.315 eV/atom, DOS at the Fermi energy 2.3 states/eV per cell. Number 12: total energy -4.304 eV/atom, DOS at the Fermi energy 21.2 states/eV per cell.